DFT (PBE-GGA) results for an optimized crystal structure of Y2Tm3In.

Computed properties:
Its formation energy is -162 meV per atom. For the energy above the lowest structure with this stoichiometry, the calculation gives 0.00 eV/f.u. For the density of states at the Fermi level, the calculation gives 1.025 states/eV/atom. The total energy is -5.009 eV per atom. Its space-group type is Cmmm.

Unit cell a=4.8636 b=4.8150 c=7.8487 alpha=107.86 beta=90.00 gamma=90.00
With the nearest neighbours (Å) after each atom.
Element x y z (fractional)
In 0.0000 0.0000 0.0000  4 Y 3.40, 8 Tm 3.42-3.50
Y 0.0000 0.3395 0.6790  2 In 3.40, 8 Tm 3.42-3.53, 2 Y 3.60
Y 0.0000 0.6605 0.3210  2 In 3.40, 8 Tm 3.42-3.53, 2 Y 3.60
Tm 0.5000 0.8317 0.6633  6 Y 3.42-3.53, 4 Tm 3.43-3.48, 2 In 3.50
Tm 0.5000 0.1683 0.3367  6 Y 3.42-3.53, 4 Tm 3.43-3.48, 2 In 3.50
Tm 0.5000 0.5000 0.0000  4 Y 3.42, 4 In 3.42, 4 Tm 3.48



DFT (PBE-GGA) results for an optimized crystal structure of Y3Tm3In.

Computed properties:
Its formation energy is -123 meV per atom. For the density of states at the Fermi level, the calculation gives 1.452 states/eV/atom. The total energy is -5.201 eV per atom. Its space-group type is P6_3/m.

Unit cell a=5.4786 b=9.3639 c=9.3642 alpha=120.02 beta=90.00 gamma=90.00
With the nearest neighbours (Å) after each atom.
Element x y z (fractional)
Y 0.7500 0.6269 0.1051  3 In 3.38-3.62, 4 Y 3.42-3.51, 5 Tm 3.44-3.69
Y 0.2500 0.3731 0.8949  3 In 3.38-3.62, 4 Y 3.42-3.51, 5 Tm 3.44-3.69
Y 0.2500 0.1050 0.4783  3 In 3.38-3.62, 4 Y 3.42-3.51, 5 Tm 3.44-3.69
Y 0.7500 0.8950 0.5217  3 In 3.38-3.62, 4 Y 3.42-3.51, 5 Tm 3.44-3.69
Y 0.7500 0.4786 0.3732  3 In 3.38-3.63, 4 Y 3.42-3.51, 5 Tm 3.44-3.69
Y 0.2500 0.5214 0.6268  3 In 3.38-3.63, 4 Y 3.42-3.51, 5 Tm 3.44-3.69
Tm 0.7500 0.1763 0.9382  6 Tm 3.39-3.47, 5 Y 3.44-3.69, 1 In 3.51
Tm 0.2500 0.2383 0.1763  6 Tm 3.39-3.47, 5 Y 3.44-3.69, 1 In 3.52
Tm 0.7500 0.7617 0.8237  6 Tm 3.39-3.47, 5 Y 3.44-3.69, 1 In 3.52
Tm 0.2500 0.9379 0.7617  6 Tm 3.39-3.47, 5 Y 3.44-3.69, 1 In 3.51
Tm 0.7500 0.0621 0.2383  6 Tm 3.39-3.47, 5 Y 3.44-3.69, 1 In 3.51
Tm 0.2500 0.8237 0.0618  6 Tm 3.39-3.47, 5 Y 3.44-3.69, 1 In 3.51
In 0.7500 0.3332 0.6668  9 Y 3.38-3.63, 3 Tm 3.51-3.52
In 0.2500 0.6668 0.3332  9 Y 3.38-3.63, 3 Tm 3.51-3.52



DFT (PBE-GGA) results for an optimized crystal structure of Y6TmIn.

Computed properties:
Its formation energy is -19 meV per atom. For the energy above the lowest structure with this stoichiometry, the calculation gives 0.79 eV/f.u. For the density of states at the Fermi level, the calculation gives 1.539 states/eV/atom. The total energy is -5.769 eV per atom. Its space-group type is R-3.

Unit cell a=9.2042 b=8.6401 c=6.3114 alpha=46.81 beta=43.18 gamma=57.83
With the nearest neighbours (Å) after each atom.
Element x y z (fractional)
Y 0.4591 0.7580 0.8170  2 Y 3.18-3.26, 1 In 3.22, 1 Tm 3.47
Y 0.9657 0.5410 0.2512  2 Y 3.18-3.26, 1 In 3.21, 1 Tm 3.46
Y 0.0343 0.4590 0.7488  2 Y 3.18-3.26, 1 In 3.21, 1 Tm 3.46
Y 0.5409 0.2420 0.1830  2 Y 3.18-3.26, 1 In 3.22, 1 Tm 3.47
Y 0.2421 0.0343 0.2646  2 Y 3.18-3.26, 1 In 3.21, 1 Tm 3.46
Y 0.7579 0.9657 0.7354  2 Y 3.18-3.26, 1 In 3.21, 1 Tm 3.46
In 0.0000 0.0000 0.0000  6 Y 3.21-3.22
Tm 0.5000 0.5000 0.5000  12 Y 3.46-3.64



DFT (PBE-GGA) results for an optimized crystal structure of Y4TmIn2.

Computed properties:
Its formation energy is -120 meV per atom. For the density of states at the Fermi level, the calculation gives 0.898 states/eV/atom. The total energy is -5.235 eV per atom. Its space-group type is P4_2/mnm.

Unit cell a=5.3239 b=9.0770 c=9.0770 alpha=90.00 beta=90.00 gamma=90.00
With the nearest neighbours (Å) after each atom.
Element x y z (fractional)
Y 0.0000 0.6727 0.9279  3 In 3.07-3.17, 2 Y 3.28-3.40
Y 0.5000 0.5721 0.1727  3 In 3.07-3.17, 2 Y 3.28-3.40
Y 0.0000 0.0721 0.3273  3 In 3.07-3.17, 2 Y 3.28-3.40
Y 0.5000 0.1727 0.5721  3 In 3.07-3.17, 2 Y 3.28-3.40
Y 0.0000 0.3273 0.0721  3 In 3.07-3.17, 2 Y 3.28-3.40
Y 0.5000 0.4279 0.8273  3 In 3.07-3.17, 2 Y 3.28-3.40
Y 0.5000 0.8273 0.4279  3 In 3.07-3.17, 2 Y 3.28-3.40
Y 0.0000 0.9279 0.6727  3 In 3.07-3.17, 2 Y 3.28-3.40
Tm 0.5000 0.0000 0.0000  2 In 3.08
Tm 0.0000 0.5000 0.5000  2 In 3.08
In 0.5000 0.2403 0.2403  6 Y 3.07-3.17, 1 Tm 3.08
In 0.0000 0.7403 0.2597  6 Y 3.07-3.17, 1 Tm 3.08
In 0.0000 0.2597 0.7403  6 Y 3.07-3.17, 1 Tm 3.08
In 0.5000 0.7597 0.7597  6 Y 3.07-3.17, 1 Tm 3.08